No. 1
Below is a relaxed Tb2Dy3Er7 crystal, with properties calculated at the PBE level.

It has space group P2/m (No. 10), with a = 6.108 Å, b = 5.517 Å, c = 11.973 Å, α = 90.00°, β = 93.65° and γ = 90.00°. Symmetry generates all atoms from Tb at (0.121, 0.000, 0.284), Dy at (0.000, 0.000, 0.000), Dy at (0.459, 0.500, 0.330), Er at (0.057, 0.500, 0.824), Er at (0.270, 0.000, 0.554), Er at (0.410, 0.000, 0.837) and Er at (0.500, 0.500, 0.000).

As for the density of states at the Fermi level: 1.574 states/eV/atom. For the total magnetic moment, the calculation gives 0.000 μB per formula unit. The formation energy comes out at 0.32 eV/atom.

No. 2
Below is a relaxed TbDy2Er crystal, with properties calculated at the PBE level.

It has space group R3m (No. 160, hexagonal axes), with a = 3.5573 Å, b = 3.5573 Å, c = 34.1743 Å, α = 90.00°, β = 90.00° and γ = 120.00°. Symmetry generates all atoms from Tb at (0.0000, 0.0000, 0.0000), Dy at (0.0000, 0.0000, 0.1668), Dy at (0.0000, 0.0000, 0.7499) and Er at (0.0000, 0.0000, 0.5832).

As for the density of states at the Fermi level: 1.439 states/eV/atom. For the total magnetic moment, the calculation gives 0.000 μB per formula unit. The formation energy comes out at 0.01 eV/atom.

No. 3
Below is a relaxed TbDy8Er2 crystal, with properties calculated at the PBE level.

It has space group C2/m (No. 12), with a = 16.414 Å, b = 6.596 Å, c = 6.585 Å, α = 90.00°, β = 100.31° and γ = 90.00°. Symmetry generates all atoms from Tb at (0.000, 0.000, 0.000), Dy at (0.089, 0.263, 0.406), Dy at (0.090, 0.500, 0.906), Dy at (0.244, 0.000, 0.312) and Er at (0.203, 0.000, 0.801).

As for the density of states at the Fermi level: 1.563 states/eV/atom. For the total magnetic moment, the calculation gives 0.000 μB per formula unit. The formation energy comes out at 0.18 eV/atom.

No. 4
Below is a relaxed Tb8Dy3Er2 crystal, with properties calculated at the PBE level.

It has space group C2/m (No. 12), with a = 20.009 Å, b = 7.619 Å, c = 5.607 Å, α = 90.00°, β = 90.01° and γ = 90.00°. Symmetry generates all atoms from Tb at (0.108, 0.210, 0.000), Tb at (0.133, 0.500, 0.500), Tb at (0.170, 0.000, 0.501), Dy at (0.000, 0.214, 0.500), Dy at (0.000, 0.500, 0.000) and Er at (0.241, 0.500, 0.000).

As for the density of states at the Fermi level: 1.604 states/eV/atom. For the total magnetic moment, the calculation gives 0.000 μB per formula unit. The formation energy comes out at 0.23 eV/atom.

No. 5
Below is a relaxed TbDy4Er15 crystal, with properties calculated at the PBE level.

It has space group P4/mmm (No. 123), with a = 4.960 Å, b = 4.960 Å, c = 24.799 Å, α = 90.00°, β = 90.00° and γ = 90.00°. Symmetry generates all atoms from Tb at (0.000, 0.000, 0.000), Dy at (0.000, 0.000, 0.200), Dy at (0.000, 0.000, 0.400), Er at (0.000, 0.500, 0.100), Er at (0.000, 0.500, 0.300), Er at (0.000, 0.500, 0.500), Er at (0.500, 0.500, 0.000), Er at (0.500, 0.500, 0.200) and Er at (0.500, 0.500, 0.400).

As for the density of states at the Fermi level: 1.286 states/eV/atom. For the total magnetic moment, the calculation gives 0.000 μB per formula unit. The formation energy comes out at 0.02 eV/atom.

No. 6
Below is a relaxed Tb3Dy4Er4 crystal, with properties calculated at the PBE level.

It has space group Immm (No. 71), with a = 3.508 Å, b = 11.118 Å, c = 18.107 Å, α = 90.00°, β = 90.00° and γ = 90.00°. Symmetry generates all atoms from Tb at (0.000, 0.000, 0.000), Tb at (0.000, 0.500, 0.109), Dy at (0.000, 0.000, 0.219), Dy at (0.000, 0.208, 0.500) and Er at (0.000, 0.257, 0.329).

As for the density of states at the Fermi level: 1.348 states/eV/atom. For the total magnetic moment, the calculation gives 0.000 μB per formula unit. The formation energy comes out at 0.18 eV/atom.

> Look up the total magnetic moment of the third one.

0.000 μB per formula unit

Please write out number 6 again, unchanged.
Below is a relaxed Tb3Dy4Er4 crystal, with properties calculated at the PBE level.

It has space group Immm (No. 71), with a = 3.508 Å, b = 11.118 Å, c = 18.107 Å, α = 90.00°, β = 90.00° and γ = 90.00°. Symmetry generates all atoms from Tb at (0.000, 0.000, 0.000), Tb at (0.000, 0.500, 0.109), Dy at (0.000, 0.000, 0.219), Dy at (0.000, 0.208, 0.500) and Er at (0.000, 0.257, 0.329).

As for the density of states at the Fermi level: 1.348 states/eV/atom. For the total magnetic moment, the calculation gives 0.000 μB per formula unit. The formation energy comes out at 0.18 eV/atom.